# NbGaSe2Br, relaxed, DFT GGA-PBE
# ΔE_f (raw)   0.479 eV/atom
# Total magnetization   2.649 μB per cell
data_NbGaSe2Br
_chemical_formula_sum 'Nb1 Ga1 Se2 Br1'
_cell_length_a 4.971
_cell_length_b 4.971
_cell_length_c 4.956
_cell_angle_alpha 90.00
_cell_angle_beta 90.00
_cell_angle_gamma 90.00
_space_group_name_H-M_alt 'P 4/m m m'
_space_group_IT_number 123
_space_group_name_Hall '-P 4 2'
loop_
_atom_site_label
_atom_site_type_symbol
_atom_site_fract_x
_atom_site_fract_y
_atom_site_fract_z
Nb1 Nb 0.000 0.000 0.000
Ga1 Ga 0.500 0.500 0.500
Se1 Se 0.000 0.500 0.500
Br1 Br 0.500 0.500 0.000